[1]
A relaxed TmPd crystal. Source: the Alexandria database, functional PBEsol.

Properties
The formation enthalpy at 0 K comes out at -0.929 eV/atom. Its total energy is -12.7 eV for the cell shown. The theoretical density comes out at 11570 kg/m³.

Unit cell a=3.406 b=3.406 c=3.406 alpha=90.00 beta=90.00 gamma=90.00
Element x y z (fractional)
Tm 0.000 0.000 0.000
Pd 0.500 0.500 0.500

---

[2]
A relaxed Tm3Pd4 crystal. Source: the Alexandria database, functional PBEsol.

Properties
The formation enthalpy at 0 K comes out at -0.962 eV/atom. Its total energy is -90.5 eV for the cell shown. The theoretical density comes out at 11618 kg/m³.

Unit cell a=7.638 b=7.638 c=7.638 alpha=114.21 beta=114.21 gamma=114.21
Element x y z (fractional)
Tm 0.023 0.275 0.405
Tm 0.275 0.405 0.023
Tm 0.405 0.023 0.275
Tm 0.595 0.977 0.725
Tm 0.725 0.595 0.977
Tm 0.977 0.725 0.595
Pd 0.000 0.000 0.000
Pd 0.064 0.546 0.229
Pd 0.229 0.064 0.546
Pd 0.454 0.771 0.936
Pd 0.500 0.500 0.500
Pd 0.546 0.229 0.064
Pd 0.771 0.936 0.454
Pd 0.936 0.454 0.771

---

[3]
A relaxed TmZnPd crystal. Source: the Alexandria database, functional PBEsol.

Properties
The formation enthalpy at 0 K comes out at -0.757 eV/atom. Its total energy is -44.1 eV for the cell shown. The theoretical density comes out at 10315 kg/m³.

Unit cell a=7.100 b=7.100 c=3.769 alpha=90.00 beta=90.00 gamma=120.00
Element x y z (fractional)
Tm 0.000 0.404 0.000
Tm 0.404 0.000 0.000
Tm 0.596 0.596 0.000
Zn 0.000 0.747 0.500
Zn 0.253 0.253 0.500
Zn 0.747 0.000 0.500
Pd 0.000 0.000 0.000
Pd 0.333 0.667 0.500
Pd 0.667 0.333 0.500

---

[4]
A relaxed V3Pd crystal. Source: the Alexandria database, functional PBEsol.

Properties
The formation enthalpy at 0 K comes out at -0.154 eV/atom. Its total energy is -71.0 eV for the cell shown. The theoretical density comes out at 8047 kg/m³.

Unit cell a=4.747 b=4.747 c=4.747 alpha=90.00 beta=90.00 gamma=90.00
Element x y z (fractional)
V 0.000 0.250 0.500
V 0.000 0.750 0.500
V 0.250 0.500 0.000
V 0.500 0.000 0.250
V 0.500 0.000 0.750
V 0.750 0.500 0.000
Pd 0.000 0.000 0.000
Pd 0.500 0.500 0.500

---

[5]
A relaxed Pd3W crystal. Source: the Alexandria database, functional PBEsol.

Properties
The formation enthalpy at 0 K comes out at -0.079 eV/atom. Its total energy is -32.0 eV for the cell shown. The theoretical density comes out at 14411 kg/m³.

Unit cell a=4.792 b=4.792 c=4.792 alpha=132.91 beta=132.91 gamma=68.79
Element x y z (fractional)
Pd 0.000 0.000 0.000
Pd 0.250 0.750 0.500
Pd 0.750 0.250 0.500
W 0.500 0.500 0.000

---

[6]
A relaxed Pd4W crystal. Source: the Alexandria database, functional PBEsol.

Properties
The formation enthalpy at 0 K comes out at -0.032 eV/atom. Its total energy is -37.8 eV for the cell shown. The theoretical density comes out at 13784 kg/m³.

Unit cell a=11.311 b=11.311 c=11.311 alpha=13.97 beta=13.97 gamma=13.97
Element x y z (fractional)
Pd 0.101 0.101 0.101
Pd 0.300 0.300 0.300
Pd 0.700 0.700 0.700
Pd 0.899 0.899 0.899
W 0.500 0.500 0.500

---

[7]
A relaxed ZnPdW3 crystal. Source: the Alexandria database, functional PBEsol.

Properties
The formation enthalpy at 0 K comes out at 2.422 eV/atom. Its total energy is -36.9 eV for the cell shown. The theoretical density comes out at 11816 kg/m³.

Unit cell a=4.667 b=4.667 c=4.667 alpha=90.00 beta=90.00 gamma=90.00
Element x y z (fractional)
Zn 0.000 0.000 0.000
Pd 0.500 0.500 0.500
W 0.000 0.500 0.500
W 0.500 0.000 0.500
W 0.500 0.500 0.000

---

[8]
A relaxed ZrPd2W crystal. Source: the Alexandria database, functional PBEsol.

Properties
The formation enthalpy at 0 K comes out at 0.033 eV/atom. Its total energy is -34.7 eV for the cell shown. The theoretical density comes out at 12249 kg/m³.

Unit cell a=4.539 b=4.539 c=4.539 alpha=60.00 beta=60.00 gamma=60.00
Element x y z (fractional)
Zr 0.000 0.000 0.000
Pd 0.250 0.250 0.250
Pd 0.750 0.750 0.750
W 0.500 0.500 0.500